[1]
Density functional theory data (PBE) for a geometry-optimized Mg3In4Sn structure.

Lattice parameters (Å, degrees): 3.2299 5.0260 14.5736 118.15 96.36 90.00
Fractional positions:
Mg1 0.0000 0.5000 0.0000
Mg2 0.2128 0.1613 0.4256
Mg3 0.7872 0.8387 0.5744
Sn1 0.5000 0.0000 0.0000
In1 0.3980 0.1357 0.7960
In2 0.6020 0.8643 0.2040
In3 0.6696 0.5470 0.3393
In4 0.3304 0.4530 0.6607

Computed properties:
For the energy of formation, the calculation gives -0.3 kJ per mole of atoms. As for the density of states at the Fermi level: 3.4 states/eV/f.u. The relative energy among the computed polymorphs comes out at 63.3 meV per atom. As for the space group: C2/m, No. 12. The calculation puts the spin magnetization at 0.000 μB per atom. As for the crystal system: monoclinic. The volume is 25.87 Å³ per atom.



[2]
Density functional theory data (PBE) for a geometry-optimized Li3Sn3Ge structure.

Lattice parameters (Å, degrees): 4.4069 8.8851 8.8851 120.00 90.00 90.00
Fractional positions:
Li1 0.7500 0.8812 0.4406
Li2 0.7500 0.5594 0.1188
Li3 0.7500 0.5594 0.4406
Li4 0.2500 0.1188 0.5594
Li5 0.2500 0.4406 0.8812
Li6 0.2500 0.4406 0.5594
Sn1 0.7500 0.7039 0.8519
Sn2 0.7500 0.1481 0.2961
Sn3 0.7500 0.1481 0.8519
Sn4 0.2500 0.2961 0.1481
Sn5 0.2500 0.8519 0.7039
Sn6 0.2500 0.8519 0.1481
Ge1 0.7500 0.3333 0.6667
Ge2 0.2500 0.6667 0.3333

Computed properties:
For the energy of formation, the calculation gives -19.9 kJ per mole of atoms. As for the density of states at the Fermi level: 3.3 states/eV/f.u. As for the space group: P6_3/mmc, No. 194. The calculation puts the spin magnetization at 0.000 μB per atom. As for the crystal system: hexagonal. The volume is 21.52 Å³ per atom.



[3]
Density functional theory data (PBE) for a geometry-optimized BaCa2AuO4 structure.

Lattice parameters (Å, degrees): 3.5524 6.3724 12.1906 90.00 90.00 106.18
Each line ends with the local moment (μB).
Fractional positions:
Ba1 0.1238 0.2476 0.7500  0.00
Ba2 0.8762 0.7524 0.2500  0.00
Ca1 0.3734 0.7468 0.5418  0.00
Ca2 0.6266 0.2532 0.0418  0.00
Ca3 0.6266 0.2532 0.4582  0.00
Ca4 0.3734 0.7468 0.9582  0.00
Au1 0.8572 0.7143 0.7500  0.20
Au2 0.1428 0.2857 0.2500  0.20
O1 0.2626 0.5251 0.1107  0.08
O2 0.7374 0.4749 0.6107  0.08
O3 0.7374 0.4749 0.8893  0.08
O4 0.2626 0.5251 0.3893  0.08
O5 0.0000 0.0000 0.5000  0.04
O6 0.0000 0.0000 0.0000  0.04
O7 0.4611 0.9222 0.7500  0.12
O8 0.5389 0.0778 0.2500  0.12

Computed properties:
As for the density of states at the Fermi level: 5.4 states/eV/f.u. As for the space group: Cmcm, No. 63. The calculation puts the spin magnetization at 0.069 μB per atom. As for the crystal system: orthorhombic. The value obtained for the uncorrected formation energy is -1918 meV per atom. The volume is 16.56 Å³ per atom.



Among the records above, which one has the highest spin magnetization? BaCa2AuO4



What is the spin magnetization in the third record? 0.069 μB per atom



Please write out number 3 again, unchanged.
Density functional theory data (PBE) for a geometry-optimized BaCa2AuO4 structure.

Lattice parameters (Å, degrees): 3.5524 6.3724 12.1906 90.00 90.00 106.18
Each line ends with the local moment (μB).
Fractional positions:
Ba1 0.1238 0.2476 0.7500  0.00
Ba2 0.8762 0.7524 0.2500  0.00
Ca1 0.3734 0.7468 0.5418  0.00
Ca2 0.6266 0.2532 0.0418  0.00
Ca3 0.6266 0.2532 0.4582  0.00
Ca4 0.3734 0.7468 0.9582  0.00
Au1 0.8572 0.7143 0.7500  0.20
Au2 0.1428 0.2857 0.2500  0.20
O1 0.2626 0.5251 0.1107  0.08
O2 0.7374 0.4749 0.6107  0.08
O3 0.7374 0.4749 0.8893  0.08
O4 0.2626 0.5251 0.3893  0.08
O5 0.0000 0.0000 0.5000  0.04
O6 0.0000 0.0000 0.0000  0.04
O7 0.4611 0.9222 0.7500  0.12
O8 0.5389 0.0778 0.2500  0.12

Computed properties:
As for the density of states at the Fermi level: 5.4 states/eV/f.u. As for the space group: Cmcm, No. 63. The calculation puts the spin magnetization at 0.069 μB per atom. As for the crystal system: orthorhombic. The value obtained for the uncorrected formation energy is -1918 meV per atom. The volume is 16.56 Å³ per atom.